Entry 1:
## BaSc2Hg (SCAN)

Data for a PBEsol-optimized structure of BaSc2Hg.

Computed properties:
ΔH_f (0 K): 29 meV/atom
crystal system: trigonal
space-group type: R-3m

Cell: 3.5060 3.5060 10.6985 Å, 80.57 80.57 60.00°
With the nearest neighbours (Å) after each atom.
Fractional positions:
Sc  0.7349  0.7349  0.7952  3 Hg 2.95
Ba  0.5000  0.5000  0.5000  6 Ba 3.51, 6 Sc 3.70
Hg  0.0000  0.0000  0.0000  6 Sc 2.95
Sc  0.2651  0.2651  0.2048  3 Hg 2.95

***

Entry 2:
## Y2HfCoHg (SCAN)

Data for a PBEsol-optimized structure of Y2HfCoHg.

Computed properties:
ΔH_f (0 K): 1051 meV/atom
crystal system: tetragonal
space-group type: P4/mmm

Cell: 5.1538 5.3876 5.3876 Å, 90.00 90.00 90.00°
With the nearest neighbours (Å) after each atom.
Fractional positions:
Hf  0.0000  0.0000  0.0000  2 Hg 2.58, 4 Y 2.69
Y  0.0000  0.5000  0.0000  2 Hf 2.69
Hg  0.5000  0.0000  0.0000  2 Hf 2.58
Y  0.0000  0.0000  0.5000  2 Hf 2.69
Co  0.5000  0.5000  0.5000  8 Y 3.73, 4 Hg 3.81

***

Entry 3:
## TeMo2SeS2 (SCAN)

Data for a PBEsol-optimized structure of TeMo2SeS2.

Computed properties:
ΔE_f (raw): -0.664 eV/atom
crystal system: trigonal
space-group type: P3m1

Cell: 3.2532 3.2532 25.9995 Å, 90.00 90.00 120.00°
With the nearest neighbours (Å) after each atom.
Fractional positions:
Mo  0.3333  0.6667  0.2537  6 Te 2.68
Mo  0.6667  0.3333  0.9891  6 Se 2.51
Mo  0.3333  0.6667  0.7454  6 S 2.42
Te  0.6667  0.3333  0.1803  3 Mo 2.68
S  0.6667  0.3333  0.6870  3 Mo 2.42
Mo  0.6667  0.3333  0.5089  6 S 2.42
Te  0.6667  0.3333  0.3270  3 Mo 2.68
S  0.3333  0.6667  0.5673  3 Mo 2.42
S  0.6667  0.3333  0.8039  3 Mo 2.42
S  0.3333  0.6667  0.4504  3 Mo 2.42
Se  0.3333  0.6667  0.9248  3 Mo 2.51
Se  0.3333  0.6667  0.0534  3 Mo 2.51

***

Entry 4:
## ZrIr2Rh (SCAN)

Data for a PBEsol-optimized structure of ZrIr2Rh.

Computed properties:
ΔH_f (0 K): -501 meV/atom
crystal system: monoclinic
space-group type: Cm

Cell: 2.8401 4.7975 4.8001 Å, 100.06 90.00 107.22°
With the nearest neighbours (Å) after each atom.
Fractional positions:
Ir  0.2515  0.5030  0.7611  5 Ir 2.69-2.84, 3 Rh 2.77-2.79, 4 Zr 2.77-2.80
Zr  0.7500  0.5000  0.2567  3 Rh 2.75-2.80, 7 Ir 2.77-2.86, 2 Zr 2.84
Rh  0.5032  0.0064  0.5088  7 Ir 2.66-2.93, 3 Zr 2.75-2.80, 2 Rh 2.84
Ir  0.9953  0.9907  0.9734  4 Rh 2.66-2.93, 5 Ir 2.69-2.84, 3 Zr 2.83-2.86

***

Spin magnetization values, unit Bohr magnetons per cell, following the record order: 0.000, 2.134, 0.000, 0.000.
DOS at the Fermi energy values, unit states/eV/cell, following the record order: 4.207, 4.871, 0.869, 3.242.